1.
This record from OQMD via LeMat-Bulk describes a relaxed structure of Li4AlTcO6. The functional is GGA-PBE.

a b c (Å): 5.017 5.017 5.050
angles (deg): 99.73 99.73 119.87
Fractional coordinates of all 12 atoms:
Li 0.000 0.000 0.000
Li 0.339 0.661 0.000
Li 0.682 0.318 0.000
Li 0.841 0.159 0.500
Al 0.174 0.826 0.500
Tc 0.508 0.492 0.500
O 0.113 0.441 0.270
O 0.267 0.228 0.728
O 0.405 0.074 0.274
O 0.559 0.887 0.730
O 0.772 0.733 0.272
O 0.926 0.595 0.726

Calculated values
- DFT total energy: -6.3654 eV/atom

2.
This record from OQMD via LeMat-Bulk describes a relaxed structure of PrYAg2. The functional is GGA-PBE.

a b c (Å): 3.663 3.663 7.533
angles (deg): 90.00 90.00 90.00
Fractional coordinates of all 4 atoms:
Pr 0.000 0.000 0.000
Y 0.000 0.000 0.500
Ag 0.500 0.500 0.270
Ag 0.500 0.500 0.730

Calculated values
- Energy of formation from the pure elements: -0.299 eV per atom
- DFT total energy: -4.5214 eV/atom

3.
This record from OQMD via LeMat-Bulk describes a relaxed structure of ReI4. The functional is GGA-PBE.

a b c (Å): 7.880 7.880 14.948
angles (deg): 90.00 90.00 125.80
Fractional coordinates of all 20 atoms:
Re 0.073 0.320 0.000
Re 0.320 0.073 0.500
Re 0.680 0.927 0.000
Re 0.927 0.680 0.500
I 0.002 0.465 0.148
I 0.009 0.991 0.085
I 0.218 0.250 0.852
I 0.250 0.218 0.352
I 0.257 0.743 0.415
I 0.269 0.731 0.931
I 0.465 0.002 0.648
I 0.483 0.517 0.069
I 0.517 0.483 0.569
I 0.535 0.998 0.148
I 0.731 0.269 0.431
I 0.743 0.257 0.915
I 0.750 0.782 0.852
I 0.782 0.750 0.352
I 0.991 0.009 0.585
I 0.998 0.535 0.648

Calculated values
- Relative energy among the computed polymorphs: 0.0 meV/atom
- DFT total energy: -3.6350 eV/atom

4.
This record from OQMD via LeMat-Bulk describes a relaxed structure of ZnGaNO. The functional is GGA-PBE.

a b c (Å): 5.542 6.885 5.206
angles (deg): 90.00 90.00 90.00
Fractional coordinates of all 16 atoms:
Zn 0.121 0.089 0.000
Zn 0.379 0.089 0.500
Zn 0.621 0.911 0.000
Zn 0.879 0.911 0.500
Ga 0.075 0.631 0.035
Ga 0.425 0.631 0.535
Ga 0.575 0.369 0.035
Ga 0.925 0.369 0.535
N 0.055 0.138 0.638
N 0.445 0.138 0.138
N 0.555 0.862 0.638
N 0.945 0.862 0.138
O 0.104 0.587 0.670
O 0.396 0.587 0.170
O 0.604 0.413 0.670
O 0.896 0.413 0.170

Calculated values
- Relative energy among the computed polymorphs: 141.1 meV/atom
- DFT total energy: -5.2077 eV/atom

5.
This record from OQMD via LeMat-Bulk describes a relaxed structure of KAg2Sb2. The functional is GGA-PBE.

a b c (Å): 6.831 6.831 6.831
angles (deg): 138.70 138.70 59.83
Fractional coordinates of all 5 atoms:
K 0.000 0.000 0.000
Ag 0.250 0.750 0.500
Ag 0.750 0.250 0.500
Sb 0.379 0.379 0.000
Sb 0.621 0.621 0.000

Calculated values
- DFT total energy: -3.2115 eV/atom

6.
This record from OQMD via LeMat-Bulk describes a relaxed structure of KPrTe3Au. The functional is GGA-PBE.

a b c (Å): 8.636 8.636 11.581
angles (deg): 90.00 90.00 150.61
Fractional coordinates of all 12 atoms:
K 0.244 0.756 0.750
K 0.756 0.244 0.250
Pr 0.000 0.000 0.000
Pr 0.000 0.000 0.500
Te 0.080 0.920 0.250
Te 0.367 0.633 0.064
Te 0.367 0.633 0.436
Te 0.633 0.367 0.564
Te 0.633 0.367 0.936
Te 0.920 0.080 0.750
Au 0.472 0.528 0.250
Au 0.528 0.472 0.750

Calculated values
- DFT total energy: -4.0204 eV/atom

7.
This record from OQMD via LeMat-Bulk describes a relaxed structure of PrAsPd. The functional is GGA-PBE.

a b c (Å): 4.387 4.387 15.852
angles (deg): 90.00 90.00 120.00
Fractional coordinates of all 12 atoms:
Pr 0.000 0.000 0.000
Pr 0.000 0.000 0.250
Pr 0.000 0.000 0.500
Pr 0.000 0.000 0.750
As 0.333 0.667 0.120
As 0.333 0.667 0.380
As 0.667 0.333 0.620
As 0.667 0.333 0.880
Pd 0.333 0.667 0.631
Pd 0.333 0.667 0.869
Pd 0.667 0.333 0.131
Pd 0.667 0.333 0.369

Calculated values
- DFT total energy: -6.0536 eV/atom

8.
This record from OQMD via LeMat-Bulk describes a relaxed structure of Co7W6. The functional is GGA-PBE.

a b c (Å): 8.763 8.763 8.763
angles (deg): 33.55 33.55 33.55
Fractional coordinates of all 13 atoms:
Co 0.000 0.000 0.000
Co 0.167 0.167 0.167
Co 0.352 0.352 0.352
Co 0.455 0.455 0.455
Co 0.545 0.545 0.545
Co 0.648 0.648 0.648
Co 0.833 0.833 0.833
W 0.089 0.089 0.585
W 0.089 0.585 0.089
W 0.415 0.911 0.911
W 0.585 0.089 0.089
W 0.911 0.415 0.911
W 0.911 0.911 0.415

Calculated values
- Energy of formation from the pure elements: 0.538 eV per atom
- Relative energy among the computed polymorphs: 576.8 meV/atom
- DFT total energy: -9.2699 eV/atom

Question: Which formula does entry 7 have?
Answer: PrAsPd